1.
A geometry-optimized NaAl3P2H4O12 structure. Source: Alexandria, functional PBE.

The structure in POSCAR format:
```
NaAl3P2H4O12
1.0
10.227 0.000 0.000
0.000 7.182 -0.005
0.000 1.459 11.257
Na Al P H O
4 12 8 16 48
Cartesian
5.862 5.922 6.351 Na
9.463 1.574 0.665 Na
4.350 7.067 10.587 Na
0.748 2.719 4.901 Na
5.794 2.482 5.799 Al
9.542 5.343 0.167 Al
4.429 3.298 11.085 Al
0.680 6.159 5.453 Al
7.326 1.801 3.308 Al
8.014 6.113 8.921 Al
2.901 2.528 2.331 Al
2.213 6.840 7.944 Al
7.730 3.315 7.986 Al
7.593 6.206 2.353 Al
2.479 2.435 8.899 Al
2.616 5.326 3.265 Al
8.276 4.342 4.830 P
7.054 1.439 10.458 P
1.941 7.202 0.794 P
3.163 4.299 6.422 P
8.466 7.988 6.321 P
6.869 3.664 0.692 P
1.756 4.977 10.560 P
3.352 0.653 4.931 P
5.526 7.058 3.355 H
9.810 4.183 8.978 H
4.696 4.458 2.273 H
0.413 1.583 7.897 H
9.254 7.630 3.617 H
6.166 4.734 9.329 H
1.053 3.907 1.923 H
4.140 1.011 7.635 H
5.200 3.255 3.591 H
10.143 7.558 9.215 H
5.030 1.083 2.037 H
0.086 5.386 7.660 H
5.424 2.632 8.193 H
0.311 6.009 3.059 H
9.154 4.329 2.432 H
4.041 4.312 8.820 H
7.381 3.904 6.044 O
7.963 6.760 0.438 O
2.850 1.881 10.814 O
2.267 4.738 5.208 O
9.661 4.789 5.322 O
5.669 1.918 10.938 O
0.556 6.723 0.313 O
4.548 3.853 5.930 O
7.288 1.216 5.370 O
8.070 5.502 11.011 O
2.957 3.140 0.240 O
2.175 7.426 5.882 O
7.513 5.459 4.091 O
7.829 2.552 9.724 O
2.715 6.089 1.528 O
2.399 3.182 7.161 O
7.996 6.799 7.176 O
7.331 2.479 1.556 O
2.218 6.162 9.696 O
2.882 1.842 4.076 O
6.155 2.360 7.591 O
9.196 5.211 1.994 O
4.082 3.430 9.257 O
1.042 6.281 3.661 O
8.652 0.575 2.856 O
6.685 4.878 8.503 O
1.571 3.763 2.749 O
3.538 8.066 8.396 O
8.569 3.128 3.886 O
6.779 7.366 9.593 O
1.666 1.275 1.659 O
3.455 5.513 7.366 O
9.099 4.543 8.400 O
6.230 7.422 2.771 O
1.117 1.219 8.481 O
3.986 4.098 2.852 O
8.886 2.008 7.213 O
6.442 4.871 1.571 O
1.329 3.770 9.681 O
3.773 6.633 4.039 O
5.896 2.678 4.004 O
9.446 6.983 9.631 O
4.333 1.658 1.621 O
0.783 5.964 7.248 O
9.683 7.613 5.430 O
5.661 4.742 11.043 O
0.548 3.899 0.209 O
4.570 1.028 5.822 O
```

Calculated values
* total energy: -145.3 eV per formula unit

2.
A geometry-optimized Ac3SnO2 structure. Source: Alexandria, functional PBE.

The structure in POSCAR format:
```
Ac3SnO2
1.0
5.899 0.000 0.000
0.000 7.911 0.093
0.000 -1.917 7.676
Ac Sn O
6 2 4
Cartesian
4.424 -0.912 6.901 Ac
4.424 0.685 3.119 Ac
1.475 2.843 1.454 Ac
4.424 3.151 6.315 Ac
1.475 5.309 4.650 Ac
1.475 6.906 0.868 Ac
1.475 1.097 5.351 Sn
4.424 4.897 2.418 Sn
0.000 0.933 1.210 O
2.949 0.933 1.210 O
0.000 5.061 6.560 O
2.949 5.061 6.560 O
```

Calculated values
* E_form (uncorrected): -2.09 eV/atom

3.
A geometry-optimized Cr2ReHg structure. Source: Alexandria, functional PBE.

The structure in POSCAR format:
```
Cr2ReHg
1.0
-3.017 3.498 -1.097
-2.407 2.160 -3.476
-4.283 -2.542 0.332
Cr Hg Re
2 1 1
Cartesian
-5.729 5.429 -4.522 Cr
-4.549 1.789 -2.171 Cr
-7.280 2.338 -3.180 Hg
-2.427 0.779 -1.060 Re
```

Calculated values
* energy of formation: 0.60 eV/atom

4.
A geometry-optimized Th6CuS5 structure. Source: Alexandria, functional PBE.

The structure in POSCAR format:
```
Th6CuS5
1.0
-6.150 -3.347 -0.703
4.031 1.147 -5.652
3.769 -5.127 3.098
S Cu Th
5 1 6
Cartesian
-2.590 -5.171 0.032 S
-2.760 -1.850 -2.351 S
0.825 -3.663 -1.629 S
0.641 -0.349 -4.004 S
4.240 -2.156 -3.289 S
0.000 0.000 0.000 Cu
-1.297 -2.584 0.004 Th
-0.461 -6.247 -1.604 Th
2.294 -4.400 0.724 Th
-0.644 -2.926 -3.981 Th
2.112 -1.079 -1.653 Th
2.947 -4.743 -3.261 Th
```

Calculated values
* E_form (uncorrected): -1.52 eV/atom

5.
A geometry-optimized Cd2Ge2Au structure. Source: Alexandria, functional PBE.

The structure in POSCAR format:
```
Cd2Ge2Au
1.0
7.532 0.000 0.000
0.000 7.532 0.000
0.000 0.000 3.935
Ge Au Cd
4 2 4
Cartesian
0.934 4.700 1.968 Ge
4.700 6.598 1.968 Ge
6.598 2.832 1.968 Ge
2.832 0.934 1.968 Ge
0.000 0.000 0.000 Au
3.766 3.766 0.000 Au
2.468 6.234 0.000 Cd
6.234 5.064 0.000 Cd
5.064 1.298 0.000 Cd
1.298 2.468 0.000 Cd
```

Calculated values
* energy of formation: 0.23 eV/atom
* energy above the most stable polymorph in this dataset: 137 meV per atom

6.
A geometry-optimized TbCeY structure. Source: Alexandria, functional PBE.

The structure in POSCAR format:
```
TbCeY
1.0
-5.746 -3.428 1.238
4.529 -5.004 7.163
1.318 5.668 3.111
Tb Ce Y
4 4 4
Cartesian
-4.317 -2.016 2.447 Tb
0.043 -1.909 4.255 Tb
0.057 -0.855 7.256 Tb
4.417 -0.747 9.064 Tb
3.265 -2.622 6.243 Ce
-0.115 -4.638 6.972 Ce
0.215 1.874 4.540 Ce
-3.165 -0.142 5.268 Ce
-2.796 -3.701 4.812 Y
-1.462 -0.265 1.850 Y
1.562 -2.498 9.662 Y
2.896 0.938 6.700 Y
```

Calculated values
* energy of formation: 0.12 eV/atom
* energy above the most stable polymorph in this dataset: 52 meV per atom

7.
A geometry-optimized Ac8La6Th structure. Source: Alexandria, functional PBE.

The structure in POSCAR format:
```
Ac8La6Th
1.0
-2.479 -6.715 0.619
-0.661 -0.686 -10.091
8.549 -2.722 4.716
Ac La Th
8 6 1
Cartesian
-0.263 -7.354 -7.937 Ac
3.193 -8.205 -3.326 Ac
-2.204 -6.144 -2.581 Ac
5.672 -2.769 3.181 Ac
2.217 -1.918 -1.430 Ac
7.613 -3.979 -2.176 Ac
3.503 -7.397 0.273 Ac
1.907 -2.726 -5.030 Ac
-1.502 -4.695 -6.123 La
3.129 -6.419 -6.277 La
1.067 -5.258 -1.936 La
6.912 -5.428 1.366 La
2.280 -3.703 1.521 La
4.342 -4.865 -2.821 La
-1.240 -3.357 0.309 Th
```

Calculated values
* energy of formation: 0.24 eV/atom

8.
A geometry-optimized Rb2HICl6 structure. Source: Alexandria, functional PBE.

The structure in POSCAR format:
```
Rb2HICl6
1.0
8.029 0.000 0.000
0.000 8.029 0.000
4.015 4.015 4.547
I H Rb Cl
1 1 2 6
Cartesian
0.000 0.000 0.000 I
4.015 4.015 0.000 H
8.029 4.015 2.273 Rb
4.015 8.029 2.273 Rb
4.015 4.015 1.514 Cl
8.029 8.029 3.032 Cl
1.790 1.790 0.000 Cl
6.239 6.239 0.000 Cl
6.239 1.790 0.000 Cl
1.790 6.239 0.000 Cl
```

Calculated values
* total energy: -26.9 eV per formula unit

9.
A geometry-optimized K2ZrAs structure. Source: Alexandria, functional PBE.

The structure in POSCAR format:
```
K2ZrAs
1.0
3.369 0.000 0.000
0.000 5.889 0.000
0.000 0.000 5.842
As K Zr
1 2 1
Cartesian
1.684 2.944 4.381 As
0.000 0.000 5.783 K
0.000 0.000 2.980 K
1.684 2.944 1.460 Zr
```

Calculated values
* energy of formation: 0.38 eV/atom

10.
A geometry-optimized Ca3AlCd structure. Source: Alexandria, functional PBE.

The structure in POSCAR format:
```
Ca3AlCd
1.0
5.238 0.000 1.197
0.000 5.373 0.000
0.305 0.000 10.725
Ca Al Cd
6 2 2
Cartesian
3.992 1.343 2.408 Ca
2.332 1.343 9.672 Ca
3.162 1.343 6.043 Ca
1.369 4.030 1.829 Ca
4.947 4.030 10.290 Ca
0.539 4.030 5.458 Ca
3.586 4.030 4.187 Al
5.354 1.343 8.512 Al
2.739 4.030 7.891 Cd
0.962 1.343 3.610 Cd
```

Calculated values
* energy of formation: -0.23 eV/atom
* energy above the most stable polymorph in this dataset: 0 meV per atom

11.
A geometry-optimized DyYHf2N4 structure. Source: Alexandria, functional PBE.

The structure in POSCAR format:
```
DyYHf2N4
1.0
-2.060 -2.408 -0.960
4.471 -3.711 -0.283
0.643 -2.572 5.075
Dy Y Hf N
1 1 2 4
Cartesian
1.206 -3.060 -0.621 Dy
2.557 -3.141 2.396 Y
0.643 -2.572 5.075 Hf
-0.708 -2.490 2.058 Hf
3.945 -4.787 3.546 N
-0.891 -3.905 0.286 N
2.594 -4.704 0.524 N
0.460 -3.987 3.308 N
```

Calculated values
* E_form (uncorrected): -1.78 eV/atom

12.
A geometry-optimized Ca3Si4Pt2 structure. Source: Alexandria, functional PBE.

The structure in POSCAR format:
```
Ca3Si4Pt2
1.0
3.799 0.000 1.013
1.344 5.329 2.589
-0.560 1.012 9.726
Ca Si Pt
3 4 2
Cartesian
1.791 4.260 8.539 Ca
0.000 0.000 0.000 Ca
2.791 2.082 4.789 Ca
1.539 2.081 1.857 Si
3.043 4.260 11.471 Si
0.239 2.154 6.732 Si
4.344 4.188 6.596 Si
2.595 5.303 5.524 Pt
1.987 1.039 7.804 Pt
```

Calculated values
* E_form (uncorrected): -0.84 eV/atom
* energy above the most stable polymorph in this dataset: 0 meV per atom

13.
A geometry-optimized CdGeP3 structure. Source: Alexandria, functional PBE.

The structure in POSCAR format:
```
CdGeP3
1.0
-2.869 -1.458 3.484
2.142 -4.231 -0.006
3.110 1.570 3.218
P Ge Cd
3 1 1
Cartesian
1.071 -2.116 -0.003 P
1.555 0.785 1.609 P
-1.435 -0.729 1.742 P
0.000 0.000 0.000 Ge
1.191 -2.060 3.348 Cd
```

Calculated values
* energy of formation: 0.90 eV/atom
* energy above the most stable polymorph in this dataset: 0 meV per atom

14.
A geometry-optimized YOsO structure. Source: Alexandria, functional PBE.

The structure in POSCAR format:
```
YOsO
1.0
-1.561 3.432 0.191
-3.755 0.383 0.029
1.289 -1.494 10.660
Os O Y
2 2 2
Cartesian
-0.883 0.612 0.455 Os
-3.144 1.709 10.424 Os
-1.376 0.602 7.301 O
-2.652 1.719 3.579 O
0.393 -0.698 7.806 Y
-4.420 3.019 3.074 Y
```

Calculated values
* E_form (uncorrected): -1.48 eV/atom

15.
A geometry-optimized LaTb3Sm2Se6 structure. Source: Alexandria, functional PBE.

The structure in POSCAR format:
```
LaTb3Sm2Se6
1.0
-2.569 2.917 6.043
3.591 -6.220 0.224
5.518 4.522 -1.259
La Tb Sm Se
1 3 2 6
Cartesian
0.000 0.000 0.000 La
5.335 -2.454 0.553 Tb
1.204 3.674 4.455 Tb
3.270 0.610 2.504 Tb
1.543 -3.182 2.159 Sm
-0.521 -0.121 4.108 Sm
3.794 2.431 4.713 Se
2.190 -1.299 4.358 Se
2.746 -1.211 0.295 Se
5.877 -0.660 2.744 Se
4.350 2.519 0.649 Se
0.662 1.880 2.263 Se
```

Calculated values
* E_form (uncorrected): -1.83 eV/atom

16.
A geometry-optimized NdNb2B6 structure. Source: Alexandria, functional PBE.

The structure in POSCAR format:
```
NdNb2B6
1.0
-3.285 -0.882 -1.189
2.099 -1.078 -5.000
-0.297 -4.009 3.796
Nd Nb B
1 2 6
Cartesian
0.000 0.000 0.000 Nd
0.502 -3.032 0.864 Nb
1.300 -2.055 -2.068 Nb
-1.025 -2.184 -1.007 B
-0.458 -3.785 -1.386 B
-1.838 -3.076 1.901 B
-0.560 -5.158 -0.085 B
-0.923 -0.811 -2.308 B
-1.744 -1.815 0.707 B
```

Calculated values
* energy of formation: -0.52 eV/atom

17.
A geometry-optimized CsCaPbF6 structure. Source: Alexandria, functional PBE.

The structure in POSCAR format:
```
CsCaPbF6
1.0
6.276 0.002 0.001
3.140 5.435 -0.001
0.001 -0.002 6.048
Cs Ca Pb F
1 1 1 6
Cartesian
6.276 0.002 0.001 Cs
6.277 3.623 3.024 Ca
3.139 1.812 3.024 Pb
1.217 2.094 1.822 F
2.423 0.005 4.226 F
5.061 2.097 4.227 F
1.932 3.334 4.225 F
4.347 3.332 1.821 F
3.854 0.005 1.823 F
```

Calculated values
* E_form (uncorrected): -2.84 eV/atom

18.
A geometry-optimized CaY2AsO structure. Source: Alexandria, functional PBE.

The structure in POSCAR format:
```
CaY2AsO
1.0
4.494 0.000 0.000
0.000 6.249 0.000
0.000 0.000 4.494
Y As Ca O
2 1 1 1
Cartesian
0.000 0.000 2.247 Y
2.247 0.000 0.000 Y
0.000 3.125 0.000 As
2.247 3.125 2.247 Ca
0.000 0.000 0.000 O
```

Calculated values
* E_form (uncorrected): -1.21 eV/atom

19.
A geometry-optimized Ta2InAs structure. Source: Alexandria, functional PBE.

The structure in POSCAR format:
```
Ta2InAs
1.0
-2.000 0.892 -3.380
-3.479 -0.880 1.827
-3.566 9.473 2.211
As In Ta
2 2 4
Cartesian
-2.740 0.006 -0.776 As
-4.893 4.299 1.631 As
0.000 0.000 0.000 In
-4.153 5.185 -0.973 In
-2.577 2.816 -1.331 Ta
-3.316 1.930 1.272 Ta
-4.729 7.109 1.076 Ta
-7.469 7.115 0.300 Ta
```

Calculated values
* energy of formation: 0.42 eV/atom
* energy above the most stable polymorph in this dataset: 445 meV per atom

20.
A geometry-optimized BeOs3I structure. Source: Alexandria, functional PBE.

The structure in POSCAR format:
```
BeOs3I
1.0
-0.343 -2.381 4.127
-0.004 -4.138 -2.387
4.765 -0.175 0.295
I Be Os
1 1 3
Cartesian
0.000 0.000 0.000 I
2.209 -3.347 1.017 Be
-0.002 -2.069 -1.194 Os
2.382 -0.087 0.147 Os
-0.171 -1.190 2.064 Os
```

Calculated values
* E_form (uncorrected): 3.08 eV/atom
* energy above the most stable polymorph in this dataset: 1704 meV per atom